Computed, not measured: crystalline CsIn7 at its relaxed geometry at the PBE level of DFT.

Lattice parameters (Å, degrees): 4.1391 8.7518 8.7518 120.00 90.00 90.00
Fractional positions:
In 0.5000 0.3333 0.6667
In 0.0000 0.0311 0.5155
In 0.5000 0.4279 0.2140
In 0.0000 0.4845 0.5155
In 0.5000 0.7860 0.5721
In 0.0000 0.4845 0.9689
In 0.5000 0.7860 0.2140
Cs 0.0000 0.0000 0.0000

Output
The value obtained for the total magnetization is 0.0 Bohr magnetons per cell. For the energy relative to the elements, the calculation gives 0.07 eV per atom.